No. 1
Here is a PBEsol-optimized structure of CaYRu2 from the Alexandria database. Energies are from meta-GGA SCAN.

Output
N(E_F) = 3.9 states/eV per cell
V = 75.1 Å³/f.u.
E_tot = -105.87 eV/cell
ΔH_f (0 K) = 321 meV per atom

Unit cell a=3.957 b=3.957 c=5.551 alpha=110.88 beta=110.88 gamma=90.00
Atoms (fractional coordinates):
Ca1 0.250 0.750 0.500
Ru1 0.000 0.000 0.000
Ru2 0.750 0.250 0.500
Y1 0.500 0.500 0.000



No. 2
Here is a PBEsol-optimized structure of CaY2Ru from the Alexandria database. Energies are from meta-GGA SCAN.

Output
N(E_F) = 2.4 states/eV per cell
V = 108.5 Å³/f.u.
E above lowest polymorph = 0.000 eV/atom
E_tot = -101.25 eV/cell
ΔH_f (0 K) = -268 meV per atom

Unit cell a=3.394 b=3.394 c=9.415 alpha=90.00 beta=90.00 gamma=90.00
Atoms (fractional coordinates):
Y1 0.000 0.000 0.672
Y2 0.000 0.000 0.328
Ru1 0.500 0.500 0.500
Ca1 0.500 0.500 0.000



No. 3
Here is a PBEsol-optimized structure of CaY3Ru from the Alexandria database. Energies are from meta-GGA SCAN.

Output
N(E_F) = 10.6 states/eV per cell
V = 141.3 Å³/f.u.
E above lowest polymorph = 0.002 eV/atom
E_tot = -258.24 eV/cell
ΔH_f (0 K) = -221 meV per atom

Unit cell a=3.711 b=8.790 c=8.927 alpha=103.97 beta=90.00 gamma=90.00
Atoms (fractional coordinates):
Y1 0.250 0.162 0.024
Y2 0.750 0.100 0.665
Y3 0.250 0.304 0.419
Y4 0.750 0.838 0.976
Y5 0.750 0.696 0.581
Y6 0.250 0.900 0.335
Ru1 0.250 0.904 0.756
Ru2 0.750 0.096 0.244
Ca1 0.250 0.478 0.816
Ca2 0.750 0.522 0.184



No. 4
Here is a PBEsol-optimized structure of Ca2YZnRu from the Alexandria database. Energies are from meta-GGA SCAN.

Output
N(E_F) = 4.4 states/eV per cell
V = 168.3 Å³/f.u.
E_tot = -90.26 eV/cell
ΔH_f (0 K) = 1051 meV per atom

Unit cell a=4.558 b=6.077 c=6.077 alpha=90.00 beta=90.00 gamma=90.00
Atoms (fractional coordinates):
Y1 0.000 0.000 0.000
Ru1 0.500 0.000 0.000
Zn1 0.500 0.500 0.500
Ca1 0.000 0.000 0.500
Ca2 0.000 0.500 0.000



No. 5
Here is a PBEsol-optimized structure of CaZnRu from the Alexandria database. Energies are from meta-GGA SCAN.

Output
N(E_F) = 1.7 states/eV per cell
V = 54.8 Å³/f.u.
E_tot = -58.05 eV/cell
ΔH_f (0 K) = -14 meV per atom

Unit cell a=3.349 b=3.349 c=5.432 alpha=107.95 beta=107.95 gamma=90.00
Atoms (fractional coordinates):
Ru1 0.294 0.294 0.589
Zn1 0.709 0.709 0.419
Ca1 0.996 0.996 0.992



No. 6
Here is a PBEsol-optimized structure of Ca2ZnRu from the Alexandria database. Energies are from meta-GGA SCAN.

Output
N(E_F) = 1.5 states/eV per cell
V = 91.3 Å³/f.u.
E_tot = -67.84 eV/cell
ΔH_f (0 K) = -43 meV per atom

Unit cell a=3.983 b=4.256 c=5.745 alpha=90.00 beta=110.28 gamma=90.00
Atoms (fractional coordinates):
Ru1 0.810 0.000 0.620
Zn1 0.693 0.500 0.386
Ca1 0.106 0.000 0.212
Ca2 0.395 0.500 0.790



No. 7
Here is a PBEsol-optimized structure of CaZn3Ru from the Alexandria database. Energies are from meta-GGA SCAN.

Output
N(E_F) = 1.8 states/eV per cell
V = 104.9 Å³/f.u.
E_tot = -85.37 eV/cell
ΔH_f (0 K) = -66 meV per atom

Unit cell a=4.717 b=4.717 c=4.717 alpha=90.00 beta=90.00 gamma=90.00
Atoms (fractional coordinates):
Ru1 0.000 0.000 0.000
Zn1 0.000 0.500 0.000
Zn2 0.000 0.000 0.500
Zn3 0.500 0.000 0.000
Ca1 0.500 0.500 0.500



No. 8
Here is a PBEsol-optimized structure of Ca2ZnRu from the Alexandria database. Energies are from meta-GGA SCAN.

Output
N(E_F) = 1.7 states/eV per cell
V = 84.7 Å³/f.u.
E_tot = -67.66 eV/cell
ΔH_f (0 K) = 2 meV per atom

Unit cell a=3.543 b=4.790 c=5.803 alpha=114.19 beta=107.78 gamma=90.00
Atoms (fractional coordinates):
Ru1 0.536 0.534 0.071
Zn1 0.208 0.709 0.416
Ca1 0.983 0.983 0.967
Ca2 0.773 0.274 0.546